(1)
# BaHg2Cl | the Alexandria database | PBEsol | optimized geometry
data_BaHg2Cl
_cell_length_a 6.080
_cell_length_b 6.190
_cell_length_c 6.310
_cell_angle_alpha 90.00
_cell_angle_beta 90.00
_cell_angle_gamma 90.00
_symmetry_space_group_name_H-M 'C m m m'
_symmetry_Int_Tables_number 65
_symmetry_space_group_name_Hall '-C 2 2'
loop_
_atom_site_label
_atom_site_type_symbol
_atom_site_fract_x
_atom_site_fract_y
_atom_site_fract_z
_atom_site_occupancy
Ba1 Ba 0.000 0.000 0.000 1
Hg1 Hg 0.000 0.257 0.500 1
Cl1 Cl 0.000 0.500 0.000 1
# Raw formation energy   -0.97 eV per atom
# Polymorph energy (0 for the lowest one)   0.0 meV/atom
# Final energy   -18.36 eV/cell

=====

(2)
# BaHgICl2 | the Alexandria database | PBEsol | optimized geometry
data_BaHgICl2
_cell_length_a 5.462
_cell_length_b 5.462
_cell_length_c 5.727
_cell_angle_alpha 90.00
_cell_angle_beta 90.00
_cell_angle_gamma 90.00
_symmetry_space_group_name_H-M 'P 4/m m m'
_symmetry_Int_Tables_number 123
_symmetry_space_group_name_Hall '-P 4 2'
loop_
_atom_site_label
_atom_site_type_symbol
_atom_site_fract_x
_atom_site_fract_y
_atom_site_fract_z
_atom_site_occupancy
Ba1 Ba 0.000 0.000 0.000 1
Hg1 Hg 0.500 0.500 0.500 1
I1 I 0.500 0.500 0.000 1
Cl1 Cl 0.000 0.500 0.500 1
# Raw formation energy   -1.08 eV per atom
# Final energy   -13.91 eV/cell

=====

(3)
# KBaHg2Cl | the Alexandria database | PBEsol | optimized geometry
data_KBaHg2Cl
_cell_length_a 6.188
_cell_length_b 6.188
_cell_length_c 12.298
_cell_angle_alpha 90.00
_cell_angle_beta 90.00
_cell_angle_gamma 90.00
_symmetry_space_group_name_H-M 'P 4/m m m'
_symmetry_Int_Tables_number 123
_symmetry_space_group_name_Hall '-P 4 2'
loop_
_atom_site_label
_atom_site_type_symbol
_atom_site_fract_x
_atom_site_fract_y
_atom_site_fract_z
_atom_site_occupancy
K1 K 0.000 0.000 0.000 1
Ba1 Ba 0.000 0.000 0.500 1
Hg1 Hg 0.000 0.500 0.500 1
Cl1 Cl 0.500 0.500 0.000 1
# Raw formation energy   -0.01 eV per atom
# Final energy   -6.46 eV/cell

=====

(4)
# Ba2HoCl7 | the Alexandria database | PBEsol | optimized geometry
data_Ba2HoCl7
_cell_length_a 6.770
_cell_length_b 15.370
_cell_length_c 10.424
_cell_angle_alpha 90.00
_cell_angle_beta 90.71
_cell_angle_gamma 90.00
_symmetry_space_group_name_H-M 'P 1 21/c 1'
_symmetry_Int_Tables_number 14
loop_
_symmetry_equiv_pos_as_xyz
'x,y,z'
'-x,-y,-z'
'-x,y+1/2,-z+1/2'
'x,-y+1/2,z+1/2'
loop_
_atom_site_label
_atom_site_type_symbol
_atom_site_fract_x
_atom_site_fract_y
_atom_site_fract_z
_atom_site_occupancy
Ba1 Ba 0.234 0.220 0.451 1
Ba2 Ba 0.236 0.561 0.324 1
Ho1 Ho 0.280 0.627 0.782 1
Cl1 Cl 0.012 0.742 0.302 1
Cl2 Cl 0.013 0.605 0.586 1
Cl3 Cl 0.203 0.041 0.287 1
Cl4 Cl 0.205 0.639 0.030 1
Cl5 Cl 0.375 0.069 0.621 1
Cl6 Cl 0.499 0.104 0.928 1
Cl7 Cl 0.499 0.228 0.204 1
# Raw formation energy   -2.45 eV per atom
# Final energy   -191.28 eV/cell

=====

(5)
# BaI2Cl | the Alexandria database | PBEsol | optimized geometry
data_BaI2Cl
_cell_length_a 4.784
_cell_length_b 4.784
_cell_length_c 25.379
_cell_angle_alpha 90.00
_cell_angle_beta 90.00
_cell_angle_gamma 90.00
_symmetry_space_group_name_H-M 'I -4 2 d'
_symmetry_Int_Tables_number 122
_symmetry_space_group_name_Hall 'I -4 2bw'
loop_
_atom_site_label
_atom_site_type_symbol
_atom_site_fract_x
_atom_site_fract_y
_atom_site_fract_z
_atom_site_occupancy
Ba1 Ba 0.000 0.000 0.000 1
I1 I 0.247 0.250 0.125 1
Cl1 Cl 0.000 0.000 0.500 1
# Raw formation energy   -1.30 eV per atom
# Final energy   -51.56 eV/cell

=====

(6)
# BaMoI2Cl | the Alexandria database | PBEsol | optimized geometry
data_BaMoI2Cl
_cell_length_a 5.173
_cell_length_b 5.173
_cell_length_c 6.426
_cell_angle_alpha 90.00
_cell_angle_beta 90.00
_cell_angle_gamma 90.00
_symmetry_space_group_name_H-M 'P 4/m m m'
_symmetry_Int_Tables_number 123
_symmetry_space_group_name_Hall '-P 4 2'
loop_
_atom_site_label
_atom_site_type_symbol
_atom_site_fract_x
_atom_site_fract_y
_atom_site_fract_z
_atom_site_occupancy
Ba1 Ba 0.000 0.000 0.000 1
Mo1 Mo 0.000 0.000 0.500 1
I1 I 0.000 0.500 0.500 1
Cl1 Cl 0.500 0.500 0.000 1
# Raw formation energy   -0.35 eV per atom
# Final energy   -21.23 eV/cell

=====

(7)
# BaSICl2 | the Alexandria database | PBEsol | optimized geometry
data_BaSICl2
_cell_length_a 5.527
_cell_length_b 5.527
_cell_length_c 5.302
_cell_angle_alpha 90.00
_cell_angle_beta 90.00
_cell_angle_gamma 90.00
_symmetry_space_group_name_H-M 'P 4/m m m'
_symmetry_Int_Tables_number 123
_symmetry_space_group_name_Hall '-P 4 2'
loop_
_atom_site_label
_atom_site_type_symbol
_atom_site_fract_x
_atom_site_fract_y
_atom_site_fract_z
_atom_site_occupancy
Ba1 Ba 0.000 0.000 0.000 1
S1 S 0.500 0.500 0.000 1
I1 I 0.500 0.500 0.500 1
Cl1 Cl 0.000 0.500 0.500 1
# Raw formation energy   -0.75 eV per atom
# Final energy   -16.07 eV/cell

=====

(8)
# BaTlI2Cl | the Alexandria database | PBEsol | optimized geometry
data_BaTlI2Cl
_cell_length_a 6.639
_cell_length_b 6.639
_cell_length_c 5.787
_cell_angle_alpha 90.00
_cell_angle_beta 90.00
_cell_angle_gamma 90.00
_symmetry_space_group_name_H-M 'P 4/m m m'
_symmetry_Int_Tables_number 123
_symmetry_space_group_name_Hall '-P 4 2'
loop_
_atom_site_label
_atom_site_type_symbol
_atom_site_fract_x
_atom_site_fract_y
_atom_site_fract_z
_atom_site_occupancy
Ba1 Ba 0.000 0.000 0.000 1
Tl1 Tl 0.500 0.500 0.500 1
I1 I 0.000 0.500 0.000 1
Cl1 Cl 0.000 0.000 0.500 1
# Raw formation energy   -1.25 eV per atom
# Final energy   -16.56 eV/cell

=====

> Which of these has the highest raw formation energy?

KBaHg2Cl